DFT (GGA-PBEsol) results for a geometry-optimized YNb2AsI structure.

The calculation puts the total energy at -5.82 eV/atom. The value obtained for the uncorrected formation energy is 1243 meV per atom.

It has space group P4/mmm (No. 123), with a = 4.976 Å, b = 4.976 Å, c = 5.413 Å, α = 90.00°, β = 90.00° and γ = 90.00°. Symmetry generates all atoms from Y at (0.000, 0.000, 0.000), Nb at (0.000, 0.500, 0.500), As at (0.500, 0.500, 0.000) and I at (0.500, 0.500, 0.500).